[1]
# KBrN2

An optimized crystal structure of KBrN2 (PBE, the Alexandria database).

Cell lengths 3.3042, 3.3042, 22.0838 Å; angles 90.00, 90.00, 120.00 degrees
Space group R-3m (No. 166, hexagonal axes)
One atom of each set of equivalent atoms:
K  0.0000  0.0000  0.0000 x3
Br  0.0000  0.0000  0.5000 x3
N  0.0000  0.0000  0.1141 x6

Computed properties:
Formation energy from raw total energies (meV per atom): 1820
ρ (Mg/m³): 3.51
Offset from the most stable computed form (meV/atom): 2631

---

[2]
# K2BrN2

An optimized crystal structure of K2BrN2 (PBE, the Alexandria database).

Cell lengths 7.9799, 7.9799, 3.8054 Å; angles 90.00, 90.00, 90.00 degrees
Space group P4/mbm (No. 127)
One atom of each set of equivalent atoms:
K  0.2249  0.2751  0.0000 x4
Br  0.0000  0.0000  0.5000 x2
N  0.0527  0.5527  0.5000 x4

Computed properties:
Formation energy from raw total energies (meV per atom): -686
ρ (Mg/m³): 2.55
Offset from the most stable computed form (meV/atom): 75

---

[3]
# KBr2N

An optimized crystal structure of KBr2N (PBE, the Alexandria database).

Cell lengths 7.8725, 7.8725, 7.8725 Å; angles 90.00, 90.00, 90.00 degrees
Space group Fm-3m (No. 225)
One atom of each set of equivalent atoms:
K  0.0000  0.0000  0.0000 x4
Br  0.2500  0.2500  0.2500 x8
N  0.0000  0.0000  0.5000 x4

Computed properties:
Formation energy from raw total energies (meV per atom): 630
ρ (Mg/m³): 2.90
Offset from the most stable computed form (meV/atom): 464

---

[4]
# K2BrN

An optimized crystal structure of K2BrN (PBE, the Alexandria database).

Cell lengths 7.6462, 7.6462, 7.6462 Å; angles 90.00, 90.00, 90.00 degrees
Space group Fm-3m (No. 225)
One atom of each set of equivalent atoms:
K  0.2500  0.2500  0.2500 x8
Br  0.0000  0.0000  0.0000 x4
N  0.0000  0.0000  0.5000 x4

Computed properties:
Formation energy from raw total energies (meV per atom): -21
ρ (Mg/m³): 2.56
Offset from the most stable computed form (meV/atom): 74